Run one
VASP calculation (PBE) on crystalline Pa2Br8Cl at its relaxed geometry.

Cell lengths 8.889, 7.946, 7.946 Å; angles 108.59, 90.44, 90.44 degrees
Site moments in Bohr magnetons follow the coordinates.
Sites, in units of the cell vectors:
Pa: 0.286 0.111 0.111  0.55
Pa: 0.714 0.889 0.889  0.55
Br: 0.718 0.110 0.696  -0.02
Br: 0.282 0.304 0.890  -0.02
Br: 0.600 0.183 0.183  -0.01
Br: 0.400 0.817 0.817  -0.01
Br: 0.718 0.696 0.110  -0.02
Br: 0.282 0.890 0.304  -0.02
Br: 0.210 0.388 0.388  -0.01
Br: 0.790 0.612 0.612  -0.01
Cl: 0.000 0.000 0.000  -0.01

Values from the calculation:
M_tot = 1.0 μB per formula unit
DOS(E_F) = 0.697 states/eV/atom


Run two
VASP calculation (PBE) on crystalline Pa2Br8Cl at its relaxed geometry.

Cell lengths 5.747, 10.832, 10.832 Å; angles 67.53, 105.32, 105.32 degrees
Site moments in Bohr magnetons follow the coordinates.
Sites, in units of the cell vectors:
Pa: 0.159 0.161 0.161  0.59
Pa: 0.841 0.839 0.839  0.59
Br: 0.851 0.069 0.626  -0.02
Br: 0.149 0.374 0.931  -0.02
Br: 0.649 0.151 0.151  -0.01
Br: 0.351 0.849 0.849  -0.01
Br: 0.851 0.626 0.069  -0.02
Br: 0.149 0.931 0.374  -0.02
Br: 0.315 0.317 0.317  -0.02
Br: 0.685 0.683 0.683  -0.02
Cl: 0.000 0.000 0.000  -0.01

Values from the calculation:
M_tot = 1.0 μB per formula unit
DOS(E_F) = 0.644 states/eV/atom


Verdict on stability: run two comes out at the bottom.


Run one
VASP calculation (PBE) on crystalline Pb2BrCl at its relaxed geometry.

Cell lengths 4.615, 4.974, 4.974 Å; angles 90.00, 90.00, 90.00 degrees
Sites, in units of the cell vectors:
Pb: 0.000 0.000 0.000
Pb: 0.000 0.500 0.500
Br: 0.500 0.500 0.000
Cl: 0.500 0.000 0.500

Values from the calculation:
M_tot = 0.0 μB per formula unit
DOS(E_F) = 0.728 states/eV/atom


Run two
VASP calculation (PBE) on crystalline Pb2BrCl at its relaxed geometry.

Cell lengths 6.108, 3.526, 6.992 Å; angles 61.03, 90.00, 90.00 degrees
Sites, in units of the cell vectors:
Pb: 0.000 0.940 0.878
Pb: 0.500 0.305 0.374
Br: 0.000 0.375 0.380
Cl: 0.500 0.881 0.868

Values from the calculation:
M_tot = 0.0 μB per formula unit
DOS(E_F) = 0.654 states/eV/atom


Run three
VASP calculation (PBE) on crystalline Pb2BrCl at its relaxed geometry.

Cell lengths 3.772, 6.324, 4.925 Å; angles 90.00, 90.00, 90.00 degrees
Sites, in units of the cell vectors:
Pb: 0.000 0.000 0.000
Pb: 0.500 0.500 0.000
Br: 0.500 0.000 0.500
Cl: 0.000 0.500 0.500

Values from the calculation:
M_tot = 0.0 μB per formula unit
DOS(E_F) = 0.445 states/eV/atom


Run four
VASP calculation (PBE) on crystalline Pb2BrCl at its relaxed geometry.

Cell lengths 3.523, 3.523, 9.197 Å; angles 90.00, 90.00, 90.00 degrees
Sites, in units of the cell vectors:
Pb: 0.000 0.000 0.994
Pb: 0.000 0.000 0.506
Br: 0.500 0.500 0.250
Cl: 0.500 0.500 0.750

Values from the calculation:
M_tot = 0.0 μB per formula unit
DOS(E_F) = 0.742 states/eV/atom


Verdict on stability: run four comes out at the bottom.


Run one
VASP calculation (PBE) on crystalline Pb2BrCl at its relaxed geometry.

Cell lengths 5.798, 5.798, 5.798 Å; angles 129.26, 129.26, 74.59 degrees
Sites, in units of the cell vectors:
Pb: 0.000 0.000 0.000
Pb: 0.500 0.500 0.000
Br: 0.250 0.750 0.500
Cl: 0.750 0.250 0.500

Values from the calculation:
M_tot = 0.0 μB per formula unit
DOS(E_F) = 0.576 states/eV/atom


Run two
VASP calculation (PBE) on crystalline Pb2BrCl at its relaxed geometry.

Cell lengths 8.475, 8.475, 6.925 Å; angles 52.27, 52.27, 90.00 degrees
Sites, in units of the cell vectors:
Pb: 0.614 0.125 0.250
Pb: 0.136 0.625 0.250
Pb: 0.375 0.386 0.750
Pb: 0.875 0.864 0.750
Br: 0.000 0.000 0.000
Br: 0.750 0.250 0.500
Cl: 0.500 0.500 0.000
Cl: 0.250 0.750 0.500

Values from the calculation:
M_tot = 0.0 μB per formula unit
DOS(E_F) = 0.233 states/eV/atom


Run three
VASP calculation (PBE) on crystalline Pb2BrCl at its relaxed geometry.

Cell lengths 3.624, 4.977, 6.621 Å; angles 90.00, 90.00, 90.00 degrees
Sites, in units of the cell vectors:
Pb: 0.000 0.000 0.940
Pb: 0.500 0.500 0.254
Br: 0.000 0.000 0.490
Cl: 0.500 0.500 0.816

Values from the calculation:
M_tot = 0.0 μB per formula unit
DOS(E_F) = 0.301 states/eV/atom


Verdict on stability: run one comes out at the bottom.